(1)
DFT (GGA-PBE) results for a relaxed CsRe2NiBi crystal.

a b c (Å): 5.000 6.005 5.000
angles (deg): 90.00 90.00 90.00
Each line ends with the local moment (μB).
Sites, in units of the cell vectors:
1 Bi 0.000 0.500 0.000  -0.15
2 Ni 0.500 0.500 0.500  0.67
3 Re 0.500 0.000 0.000  1.84
4 Re 0.000 0.000 0.500  1.37
5 Cs 0.000 0.000 0.000  0.00

- M_tot: 4.2 μB per cell
- Calculated density: 8.55 Mg/m³
- DOS(E_F): 8.99 states/eV/cell
- ΔH_f (0 K): 19.1 eV/f.u.

(2)
DFT (GGA-PBE) results for a relaxed CsTlNi2Bi crystal.

a b c (Å): 4.950 6.291 4.950
angles (deg): 90.00 90.00 90.00
Sites, in units of the cell vectors:
1 Tl 0.000 0.500 0.000
2 Ni 0.500 0.000 0.000
3 Ni 0.000 0.000 0.500
4 Bi 0.500 0.500 0.500
5 Cs 0.000 0.000 0.000

- M_tot: 0.0 μB per cell
- Calculated density: 7.15 Mg/m³
- DOS(E_F): 5.76 states/eV/cell
- ΔH_f (0 K): 7.6 eV/f.u.

(3)
DFT (GGA-PBE) results for a relaxed CsYNiBi2 crystal.

a b c (Å): 6.202 4.760 6.202
angles (deg): 90.00 90.00 90.00
Sites, in units of the cell vectors:
1 Bi 0.000 0.000 0.500
2 Bi 0.500 0.000 0.000
3 Y 0.500 0.500 0.500
4 Cs 0.000 0.000 0.000
5 Ni 0.000 0.500 0.000

- M_tot: 0.0 μB per cell
- Calculated density: 6.33 Mg/m³
- DOS(E_F): 3.77 states/eV/cell
- ΔH_f (0 K): 6.0 eV/f.u.

(4)
DFT (GGA-PBE) results for a relaxed CsNpBi crystal.

a b c (Å): 3.649 4.689 16.120
angles (deg): 77.48 90.00 112.90
Sites, in units of the cell vectors:
1 Cs 0.457 0.915 0.340
2 Cs 0.543 0.085 0.660
3 Np 0.831 0.662 0.966
4 Np 0.169 0.338 0.034
5 Bi 0.176 0.353 0.837
6 Bi 0.824 0.647 0.163

- M_tot: 0.0 μB per cell
- Calculated density: 7.78 Mg/m³
- DOS(E_F): 7.62 states/eV/cell
- ΔH_f (0 K): 0.3 eV/f.u.

(5)
DFT (GGA-PBE) results for a relaxed CsNpBiO6 crystal.

a b c (Å): 7.914 8.107 8.025
angles (deg): 120.34 119.55 90.00
Sites, in units of the cell vectors:
1 O 0.435 0.063 0.229
2 O 0.565 0.334 0.771
3 O 0.795 0.666 0.229
4 O 0.205 0.334 0.771
5 O 0.565 0.937 0.771
6 O 0.446 0.696 0.892
7 O 0.205 0.937 0.771
8 O 0.435 0.666 0.229
9 O 0.554 0.304 0.108
10 O 0.795 0.063 0.229
11 O 0.825 0.075 0.650
12 O 0.175 0.925 0.350
13 Bi 0.000 0.000 0.500
14 Bi 0.500 0.000 0.500
15 Cs 0.106 0.356 0.211
16 Cs 0.894 0.644 0.789
17 Np 0.500 0.500 0.000
18 Np 0.500 0.000 0.000

- M_tot: 0.0 μB per cell
- Calculated density: 6.15 Mg/m³
- Raw total energy: -7.223 eV/atom
- DOS(E_F): 4.01 states/eV/cell

(6)
DFT (GGA-PBE) results for a relaxed CsNpBi2O8 crystal.

a b c (Å): 5.205 5.199 8.494
angles (deg): 87.03 87.06 89.56
Each line ends with the local moment (μB).
Sites, in units of the cell vectors:
1 Np 0.000 0.000 0.000  0.65
2 O 0.591 0.592 0.471  0.21
3 O 0.690 0.691 0.019  -0.01
4 O 0.817 0.185 0.169  -0.03
5 O 0.184 0.816 0.170  -0.03
6 O 0.409 0.408 0.529  0.21
7 O 0.183 0.815 0.831  -0.03
8 O 0.816 0.184 0.830  -0.03
9 O 0.310 0.309 0.981  -0.01
10 Cs 0.000 0.000 0.500  0.00
11 Bi 0.467 0.467 0.198  -0.01
12 Bi 0.533 0.533 0.802  -0.01

- M_tot: 1.0 μB per cell
- Calculated density: 6.63 Mg/m³
- Raw total energy: -6.755 eV/atom
- DOS(E_F): 6.68 states/eV/cell

(7)
DFT (GGA-PBE) results for a relaxed Cs2NpBi2S6 crystal.

a b c (Å): 7.131 7.131 8.629
angles (deg): 98.34 98.34 119.83
Each line ends with the local moment (μB).
Sites, in units of the cell vectors:
1 Np 0.000 0.000 0.500  3.23
2 S 0.062 0.383 0.681  -0.04
3 S 0.252 0.252 0.319  -0.04
4 S 0.383 0.062 0.681  -0.04
5 S 0.938 0.617 0.319  -0.04
6 S 0.617 0.938 0.319  -0.04
7 S 0.748 0.748 0.681  -0.04
8 Bi 0.332 0.668 0.500  0.02
9 Bi 0.668 0.332 0.500  0.02
10 Cs 0.829 0.171 0.000  0.00
11 Cs 0.171 0.829 0.000  0.00

- M_tot: 3.0 μB per cell
- Calculated density: 5.07 Mg/m³
- Raw total energy: -5.233 eV/atom
- DOS(E_F): 4.64 states/eV/cell

(8)
DFT (GGA-PBE) results for a relaxed Cs2NpBiSe5 crystal.

a b c (Å): 4.441 10.115 16.253
angles (deg): 90.00 90.00 102.68
Each line ends with the local moment (μB).
Sites, in units of the cell vectors:
1 Se 0.337 0.673 0.994  -0.20
2 Se 0.070 0.140 0.057  -0.12
3 Se 0.718 0.435 0.134  -0.15
4 Se 0.663 0.327 0.494  -0.20
5 Se 0.687 0.374 0.914  -0.10
6 Se 0.499 0.999 0.788  -0.04
7 Se 0.930 0.860 0.557  -0.12
8 Se 0.282 0.565 0.634  -0.15
9 Se 0.501 0.001 0.288  -0.04
10 Se 0.313 0.626 0.414  -0.10
11 Cs 0.101 0.201 0.665  -0.01
12 Cs 0.144 0.289 0.306  0.00
13 Cs 0.899 0.799 0.165  -0.01
14 Cs 0.856 0.711 0.806  0.00
15 Bi 0.548 0.096 0.938  0.00
16 Bi 0.452 0.904 0.438  0.00
17 Np 0.208 0.415 0.029  2.92
18 Np 0.792 0.585 0.529  2.92

- M_tot: 4.0 μB per cell
- Calculated density: 5.16 Mg/m³
- Raw total energy: -4.871 eV/atom
- DOS(E_F): 11.00 states/eV/cell

(9)
DFT (GGA-PBE) results for a relaxed Cs3NpBi3Se8 crystal.

a b c (Å): 8.608 8.608 9.917
angles (deg): 115.74 90.00 120.00
Each line ends with the local moment (μB).
Sites, in units of the cell vectors:
1 Se 0.779 0.037 0.316  -0.05
2 Se 0.259 0.037 0.316  -0.05
3 Se 0.779 0.557 0.316  -0.05
4 Se 0.741 0.963 0.684  -0.05
5 Se 0.221 0.443 0.684  -0.05
6 Se 0.269 0.539 0.308  0.00
7 Se 0.221 0.963 0.684  -0.05
8 Se 0.731 0.461 0.692  0.00
9 Cs 0.000 0.000 0.000  0.00
10 Cs 0.500 0.500 0.000  0.00
11 Cs 0.000 0.500 0.000  0.00
12 Bi 0.500 0.500 0.500  0.01
13 Bi 0.500 0.000 0.500  0.01
14 Bi 0.000 0.500 0.500  0.01
15 Np 0.000 0.000 0.500  3.33

- M_tot: 3.0 μB per cell
- Calculated density: 5.71 Mg/m³
- Raw total energy: -4.533 eV/atom
- DOS(E_F): 3.31 states/eV/cell

(10)
DFT (GGA-PBE) results for a relaxed Cs3NpBi2Se6 crystal.

a b c (Å): 7.602 7.602 8.743
angles (deg): 98.33 98.33 119.99
Each line ends with the local moment (μB).
Sites, in units of the cell vectors:
1 Cs 0.168 0.832 0.500  0.00
2 Cs 0.500 0.500 0.500  0.00
3 Cs 0.832 0.168 0.500  0.00
4 Np 0.000 0.000 0.000  3.91
5 Bi 0.666 0.334 0.000  0.03
6 Bi 0.334 0.666 0.000  0.03
7 Se 0.063 0.392 0.190  -0.02
8 Se 0.265 0.265 0.809  -0.02
9 Se 0.608 0.937 0.810  -0.02
10 Se 0.392 0.063 0.190  -0.02
11 Se 0.937 0.608 0.810  -0.02
12 Se 0.735 0.735 0.191  -0.02

- M_tot: 4.0 μB per cell
- Calculated density: 6.06 Mg/m³
- Raw total energy: -4.605 eV/atom
- DOS(E_F): 6.45 states/eV/cell

(11)
DFT (GGA-PBE) results for a relaxed Cs3Np2BiSe6 crystal.

a b c (Å): 7.569 7.569 8.714
angles (deg): 98.31 98.31 119.98
Each line ends with the local moment (μB).
Sites, in units of the cell vectors:
1 Np 0.333 0.667 0.000  3.95
2 Np 0.667 0.333 0.000  3.95
3 Bi 0.000 0.000 0.000  0.06
4 Se 0.404 0.063 0.188  -0.05
5 Se 0.063 0.404 0.188  -0.05
6 Se 0.596 0.937 0.812  -0.05
7 Se 0.720 0.720 0.187  -0.05
8 Se 0.280 0.280 0.813  -0.05
9 Se 0.937 0.596 0.812  -0.05
10 Cs 0.500 0.500 0.500  0.00
11 Cs 0.163 0.837 0.500  0.00
12 Cs 0.837 0.163 0.500  0.00

- M_tot: 8.0 μB per cell
- Calculated density: 6.24 Mg/m³
- Raw total energy: -5.511 eV/atom
- DOS(E_F): 17.01 states/eV/cell

(12)
DFT (GGA-PBE) results for a relaxed Cs2Np2BiSe6 crystal.

a b c (Å): 7.388 7.388 8.873
angles (deg): 97.63 97.63 120.09
Each line ends with the local moment (μB).
Sites, in units of the cell vectors:
1 Se 0.403 0.058 0.683  -0.07
2 Se 0.597 0.942 0.317  -0.07
3 Se 0.714 0.714 0.684  -0.07
4 Se 0.058 0.403 0.683  -0.07
5 Se 0.286 0.286 0.316  -0.07
6 Se 0.942 0.597 0.317  -0.07
7 Cs 0.163 0.837 0.000  0.00
8 Cs 0.837 0.163 0.000  0.00
9 Np 0.334 0.666 0.500  3.65
10 Np 0.666 0.334 0.500  3.65
11 Bi 0.000 0.000 0.500  0.03

- M_tot: 7.0 μB per cell
- Calculated density: 5.85 Mg/m³
- Raw total energy: -5.835 eV/atom
- DOS(E_F): 17.29 states/eV/cell

(13)
DFT (GGA-PBE) results for a relaxed Cs2NpBiSe4 crystal.

a b c (Å): 7.233 8.611 13.444
angles (deg): 83.51 74.40 65.17
Each line ends with the local moment (μB).
Sites, in units of the cell vectors:
1 Se 0.289 0.790 0.108  -0.04
2 Se 0.146 0.290 0.392  -0.04
3 Se 0.563 0.290 0.608  -0.04
4 Se 0.187 0.210 0.892  -0.04
5 Se 0.461 0.710 0.392  -0.04
6 Se 0.604 0.210 0.108  -0.04
7 Se 0.921 0.790 0.892  -0.04
8 Se 0.829 0.710 0.608  -0.04
9 Bi 0.250 0.500 0.500  0.06
10 Bi 0.500 0.000 0.000  0.06
11 Cs 0.569 0.500 0.863  0.01
12 Cs 0.931 0.500 0.137  0.01
13 Cs 0.819 0.000 0.363  0.01
14 Cs 0.181 0.000 0.637  0.01
15 Np 0.750 0.500 0.500  3.81
16 Np 0.000 0.000 0.000  3.81

- M_tot: 8.0 μB per cell
- Calculated density: 4.66 Mg/m³
- Raw total energy: -4.880 eV/atom
- DOS(E_F): 11.66 states/eV/cell

(14)
DFT (GGA-PBE) results for a relaxed Cs4Np3BiTe8 crystal.

a b c (Å): 9.320 10.388 9.318
angles (deg): 116.63 120.01 90.00
Each line ends with the local moment (μB).
Sites, in units of the cell vectors:
1 Te 0.232 0.691 0.959  -0.05
2 Te 0.273 0.309 0.041  -0.05
3 Te 0.232 0.691 0.464  -0.05
4 Te 0.768 0.309 0.536  -0.05
5 Te 0.768 0.309 0.041  -0.05
6 Te 0.727 0.691 0.959  -0.05
7 Te 0.730 0.689 0.459  -0.07
8 Te 0.270 0.311 0.541  -0.07
9 Np 0.500 0.500 0.000  4.02
10 Np 0.500 0.500 0.500  4.02
11 Np 0.000 0.500 0.500  4.02
12 Cs 0.000 0.000 0.500  0.00
13 Cs 0.500 0.000 0.500  0.00
14 Cs 0.500 0.000 0.000  0.00
15 Cs 0.000 0.000 0.000  0.00
16 Bi 0.000 0.500 0.000  0.05

- M_tot: 12.0 μB per cell
- Calculated density: 6.14 Mg/m³
- Raw total energy: -5.266 eV/atom
- DOS(E_F): 22.66 states/eV/cell

(15)
DFT (GGA-PBE) results for a relaxed CsBiO2 crystal.

a b c (Å): 3.759 6.954 6.935
angles (deg): 90.00 90.00 90.00
Sites, in units of the cell vectors:
1 O 0.500 0.285 0.500
2 O 0.500 0.715 0.500
3 O 0.500 0.715 0.000
4 O 0.500 0.285 0.000
5 Cs 0.000 0.000 0.750
6 Cs 0.000 0.000 0.250
7 Bi 0.500 0.500 0.250
8 Bi 0.500 0.500 0.750

- M_tot: 0.0 μB per cell
- Calculated density: 6.85 Mg/m³
- Raw total energy: -4.659 eV/atom
- DOS(E_F): 3.88 states/eV/cell

(16)
DFT (GGA-PBE) results for a relaxed CsBiO2 crystal.

a b c (Å): 3.243 3.243 7.097
angles (deg): 90.00 90.00 90.00
Sites, in units of the cell vectors:
1 Bi 0.500 0.500 0.000
2 Cs 0.500 0.500 0.500
3 O 0.000 0.000 0.188
4 O 0.000 0.000 0.812

- M_tot: 0.0 μB per cell
- Calculated density: 8.32 Mg/m³
- Raw total energy: -4.459 eV/atom

(17)
DFT (GGA-PBE) results for a relaxed Cs12BiO4 crystal.

a b c (Å): 10.155 10.155 10.155
angles (deg): 109.51 109.43 109.48
Sites, in units of the cell vectors:
1 O 0.000 0.500 0.000
2 O 0.000 0.000 0.500
3 O 0.500 0.000 0.000
4 O 0.500 0.500 0.500
5 Cs 0.720 0.303 0.023
6 Cs 0.196 0.976 0.780
7 Cs 0.280 0.303 0.583
8 Cs 0.720 0.697 0.417
9 Cs 0.478 0.781 0.697
10 Cs 0.915 0.219 0.697
11 Cs 0.804 0.584 0.780
12 Cs 0.804 0.024 0.220
13 Cs 0.280 0.697 0.977
14 Cs 0.522 0.219 0.303
15 Cs 0.085 0.781 0.303
16 Cs 0.196 0.416 0.220
17 Bi 0.000 0.500 0.500

- M_tot: 0.0 μB per cell
- Calculated density: 3.85 Mg/m³
- Raw total energy: -2.698 eV/atom
- DOS(E_F): 3.12 states/eV/cell

(18)
DFT (GGA-PBE) results for a relaxed Cs2Bi3O8 crystal.

a b c (Å): 5.800 6.933 8.148
angles (deg): 115.18 106.88 90.00
Sites, in units of the cell vectors:
1 Bi 0.000 0.262 0.000
2 Bi 0.000 0.738 0.000
3 Bi 0.500 0.000 0.000
4 O 0.104 0.919 0.837
5 O 0.983 0.593 0.186
6 O 0.896 0.081 0.163
7 O 0.618 0.135 0.839
8 O 0.382 0.865 0.161
9 O 0.382 0.296 0.161
10 O 0.618 0.704 0.839
11 O 0.017 0.407 0.814
12 Cs 0.327 0.278 0.557
13 Cs 0.673 0.722 0.443

- M_tot: 0.0 μB per cell
- Calculated density: 6.03 Mg/m³
- Raw total energy: -5.165 eV/atom
- DOS(E_F): 2.35 states/eV/cell

(19)
DFT (GGA-PBE) results for a relaxed Cs2Bi4O crystal.

a b c (Å): 5.216 5.216 10.967
angles (deg): 76.24 76.24 90.00
Sites, in units of the cell vectors:
1 Bi 0.887 0.887 0.227
2 Bi 0.000 0.500 0.000
3 Bi 0.500 0.000 0.000
4 Bi 0.113 0.113 0.773
5 O 0.000 0.000 0.000
6 Cs 0.669 0.669 0.661
7 Cs 0.331 0.331 0.339

- M_tot: 0.0 μB per cell
- Calculated density: 6.61 Mg/m³
- Raw total energy: -3.319 eV/atom
- DOS(E_F): 4.79 states/eV/cell

(20)
DFT (GGA-PBE) results for a relaxed CsBiO2 crystal.

a b c (Å): 6.096 6.421 6.421
angles (deg): 97.36 111.23 111.23
Sites, in units of the cell vectors:
1 Cs 0.250 0.641 0.359
2 Cs 0.750 0.359 0.641
3 O 0.291 0.768 0.878
4 O 0.791 0.878 0.768
5 O 0.709 0.232 0.122
6 O 0.209 0.122 0.232
7 Bi 0.750 0.918 0.082
8 Bi 0.250 0.082 0.918

- M_tot: 0.0 μB per cell
- Calculated density: 5.96 Mg/m³
- Raw total energy: -5.002 eV/atom
- DOS(E_F): 0.00 states/eV/cell